# PBE Na2InAg2Au5, relaxed
# - SG = No. 127
# - electronic total energy (eV/atom) = -2.919
# - E_form (meV per atom) = -173
data_Na2InAg2Au5
_chemical_formula_sum 'Na4 In2 Ag4 Au10'
_cell_length_a 10.064
_cell_length_b 10.064
_cell_length_c 4.105
_cell_angle_alpha 90.00
_cell_angle_beta 90.00
_cell_angle_gamma 90.00
_symmetry_space_group_name_H-M 'P 1'
_symmetry_Int_Tables_number 1
_symmetry_space_group_name_Hall 'P 1'
loop_
_atom_site_label
_atom_site_type_symbol
_atom_site_fract_x
_atom_site_fract_y
_atom_site_fract_z
Na1 Na 0.171 0.329 0.000
Na2 Na 0.329 0.829 0.000
Na3 Na 0.671 0.171 0.000
Na4 Na 0.829 0.671 0.000
In1 In 0.000 0.000 0.000
In2 In 0.500 0.500 0.000
Ag1 Ag 0.129 0.629 0.000
Ag2 Ag 0.371 0.129 0.000
Ag3 Ag 0.629 0.871 0.000
Ag4 Ag 0.871 0.371 0.000
Au1 Au 0.000 0.500 0.500
Au2 Au 0.051 0.798 0.500
Au3 Au 0.202 0.051 0.500
Au4 Au 0.298 0.551 0.500
Au5 Au 0.449 0.298 0.500
Au6 Au 0.500 0.000 0.500
Au7 Au 0.551 0.702 0.500
Au8 Au 0.702 0.449 0.500
Au9 Au 0.798 0.949 0.500
Au10 Au 0.949 0.202 0.500


# PBE Na2In3AgAu12, relaxed
# - SG = No. 166
# - electronic total energy (eV/atom) = -3.047
# - E_form (meV per atom) = -101
data_Na2In3AgAu12
_chemical_formula_sum 'Na2 In3 Ag1 Au12'
_cell_length_a 7.249
_cell_length_b 7.249
_cell_length_c 7.249
_cell_angle_alpha 83.20
_cell_angle_beta 83.20
_cell_angle_gamma 83.20
_symmetry_space_group_name_H-M 'P 1'
_symmetry_Int_Tables_number 1
_symmetry_space_group_name_Hall 'P 1'
loop_
_atom_site_label
_atom_site_type_symbol
_atom_site_fract_x
_atom_site_fract_y
_atom_site_fract_z
Na1 Na 0.179 0.179 0.179
Na2 Na 0.821 0.821 0.821
In1 In 0.000 0.500 0.500
In2 In 0.500 0.000 0.500
In3 In 0.500 0.500 0.000
Ag1 Ag 0.500 0.500 0.500
Au1 Au 0.097 0.097 0.606
Au2 Au 0.097 0.606 0.097
Au3 Au 0.205 0.701 0.701
Au4 Au 0.299 0.299 0.795
Au5 Au 0.299 0.795 0.299
Au6 Au 0.394 0.903 0.903
Au7 Au 0.606 0.097 0.097
Au8 Au 0.701 0.205 0.701
Au9 Au 0.701 0.701 0.205
Au10 Au 0.795 0.299 0.299
Au11 Au 0.903 0.394 0.903
Au12 Au 0.903 0.903 0.394


Question: E_form of number 1 (Na2InAg2Au5)?
Answer: -173 meV per atom


Question: Which value of E_form does entry 1 give?
Answer: -173 meV per atom


Question: What is the E_form in the first record?
Answer: -173 meV per atom


Question: electronic total energy of number 2 (Na2In3AgAu12)?
Answer: -3.047 eV/atom